[1]
Crystalline DyErMg2 at its relaxed geometry. Source: Alexandria, functional GGA-PBE.

Values from the calculation:
E_form: -0.077 eV per atom
Total magnetization: 0.000 μB/atom
Offset from the most stable computed form: 0.0 meV per atom

Lattice parameters (Å, degrees): 7.5519 7.5519 7.5519 90.00 90.00 90.00
Space group Fm-3m (No. 225)
Inequivalent atoms, fractional coordinates:
Dy (0.0000, 0.0000, 0.0000) x4
Er (0.0000, 0.0000, 0.5000) x4
Mg (0.2500, 0.2500, 0.2500) x8


[2]
Crystalline DyEr2Mg5 at its relaxed geometry. Source: Alexandria, functional GGA-PBE.

Values from the calculation:
E_form: -0.064 eV per atom
Total magnetization: 0.000 μB/atom

Lattice parameters (Å, degrees): 5.2290 5.2290 15.0613 90.00 90.00 90.00
Space group I4/mmm (No. 139)
Inequivalent atoms, fractional coordinates:
Dy (0.0000, 0.0000, 0.0000) x2
Er (0.0000, 0.0000, 0.2555) x4
Mg (0.0000, 0.0000, 0.5000) x2
Mg (0.0000, 0.5000, 0.1206) x8


[3]
Crystalline Dy2Er2Mg7 at its relaxed geometry. Source: Alexandria, functional GGA-PBE.

Values from the calculation:
E_form: 0.064 eV per atom
Total magnetization: 0.000 μB/atom

Lattice parameters (Å, degrees): 5.2575 14.5152 7.7662 90.00 90.00 90.00
Space group Imm2 (No. 44)
Inequivalent atoms, fractional coordinates:
Dy (0.0000, 0.2176, 0.0000) x4
Er (0.0000, 0.0000, 0.8362) x2
Er (0.0000, 0.5000, 0.0207) x2
Mg (0.0000, 0.0000, 0.2499) x2
Mg (0.0000, 0.1542, 0.5297) x4
Mg (0.0000, 0.3560, 0.3101) x4
Mg (0.0000, 0.3822, 0.6804) x4


[4]
Crystalline Dy6ErMg at its relaxed geometry. Source: Alexandria, functional GGA-PBE.

Values from the calculation:
E_form: 0.025 eV per atom
Total magnetization: 0.000 μB/atom
Offset from the most stable computed form: 0.0 meV per atom

Lattice parameters (Å, degrees): 11.0125 4.9874 9.8991 90.00 116.68 90.00
Space group C2/m (No. 12)
Inequivalent atoms, fractional coordinates:
Dy (0.0014, 0.0000, 0.2503) x4
Dy (0.2457, 0.5000, 0.8759) x4
Dy (0.2498, 0.0000, 0.6269) x4
Er (0.0000, 0.5000, 0.5000) x2
Mg (0.0000, 0.5000, 0.0000) x2


> Which value of E_form does entry 1 give?

-0.077 eV per atom


> Which of these has the highest E_form?

Dy2Er2Mg7


Repeat the fourth record exactly.
Crystalline Dy6ErMg at its relaxed geometry. Source: Alexandria, functional GGA-PBE.

Values from the calculation:
E_form: 0.025 eV per atom
Total magnetization: 0.000 μB/atom
Offset from the most stable computed form: 0.0 meV per atom

Lattice parameters (Å, degrees): 11.0125 4.9874 9.8991 90.00 116.68 90.00
Space group C2/m (No. 12)
Inequivalent atoms, fractional coordinates:
Dy (0.0014, 0.0000, 0.2503) x4
Dy (0.2457, 0.5000, 0.8759) x4
Dy (0.2498, 0.0000, 0.6269) x4
Er (0.0000, 0.5000, 0.5000) x2
Mg (0.0000, 0.5000, 0.0000) x2


> Which value of total magnetization does entry 1 give?

0.000 μB/atom